(1)
Below is crystalline LiTa2Be at its relaxed geometry, with properties calculated at the GGA-PBE level.

```
LiTa2Be
1.0
2.739 0.000 0.000
0.000 2.739 0.000
0.000 0.000 8.415
Li Ta Be
1 2 1
Cartesian
0.000 0.000 0.000
1.370 1.370 2.502
1.370 1.370 5.913
0.000 0.000 4.208
```

Calculated values
Crystal system: tetragonal

=====

(2)
Below is crystalline LiTa2Be at its relaxed geometry, with properties calculated at the GGA-PBE level.

```
LiTa2Be
1.0
3.381 0.000 0.000
0.000 4.152 0.000
0.000 0.000 8.678
Li Ta Be
2 4 2
Cartesian
0.000 0.000 0.000
1.690 2.076 4.339
0.000 2.076 1.904
0.000 2.076 6.774
1.690 0.000 2.435
1.690 0.000 6.243
0.000 0.000 4.339
1.690 2.076 0.000
```

Calculated values
Crystal system: orthorhombic

=====

(3)
Below is crystalline LiTa2Be at its relaxed geometry, with properties calculated at the GGA-PBE level.

```
LiTa2Be
1.0
2.779 0.000 0.000
-1.390 2.407 0.000
0.000 0.000 29.022
Li Ta Be
3 6 3
Cartesian
0.000 0.000 0.000
0.000 1.605 19.348
1.390 0.802 9.674
0.000 0.000 7.044
0.000 0.000 21.978
0.000 1.605 12.304
0.000 1.605 26.393
1.390 0.802 2.630
1.390 0.802 16.719
0.000 0.000 14.511
0.000 1.605 4.837
1.390 0.802 24.185
```

Calculated values
Crystal system: trigonal

=====

(4)
Below is crystalline LiTaBe10 at its relaxed geometry, with properties calculated at the GGA-PBE level.

```
LiTaBe10
1.0
3.460 0.000 0.000
0.000 4.362 0.000
0.000 0.000 7.600
Li Ta Be
1 1 10
Cartesian
0.000 0.000 0.000
0.000 2.181 3.800
0.000 0.000 2.477
0.000 0.000 5.123
0.000 2.181 1.251
0.000 2.181 6.350
1.730 0.000 3.800
1.730 1.151 1.997
1.730 1.151 5.603
1.730 2.181 0.000
1.730 3.211 1.997
1.730 3.211 5.603
```

Calculated values
Crystal system: orthorhombic

=====

(5)
Below is crystalline LiTa2Be at its relaxed geometry, with properties calculated at the GGA-PBE level.

```
LiTa2Be
1.0
2.842 0.000 0.000
0.000 3.775 0.000
0.000 0.000 5.791
Li Ta Be
1 2 1
Cartesian
0.000 0.000 0.000
0.000 0.000 3.164
1.421 1.887 1.612
1.421 1.887 4.439
```

Calculated values
Crystal system: orthorhombic

=====

(6)
Below is crystalline LiTa2Be at its relaxed geometry, with properties calculated at the GGA-PBE level.

```
LiTa2Be
1.0
5.696 0.000 0.000
0.000 7.177 0.000
0.000 0.000 2.807
Li Ta Be
2 4 2
Cartesian
0.000 0.000 0.000
2.848 3.589 0.000
1.424 1.794 1.403
1.424 5.383 1.403
4.272 1.794 1.403
4.272 5.383 1.403
0.000 3.589 0.000
2.848 0.000 0.000
```

Calculated values
Crystal system: orthorhombic

=====

(7)
Below is crystalline LiTa2Be at its relaxed geometry, with properties calculated at the GGA-PBE level.

```
LiTa2Be
1.0
3.984 0.000 0.000
0.000 3.984 0.000
0.000 0.000 3.612
Li Ta Be
1 2 1
Cartesian
0.000 0.000 0.000
0.000 1.992 1.806
1.992 0.000 1.806
1.992 1.992 0.000
```

Calculated values
Crystal system: tetragonal

=====

(8)
Below is crystalline LiTa2Be at its relaxed geometry, with properties calculated at the GGA-PBE level.

```
LiTa2Be
1.0
6.876 0.000 0.000
0.000 6.876 0.000
0.000 0.000 5.119
Li Ta Be
4 8 4
Cartesian
0.000 0.000 0.000
0.000 3.438 1.280
3.438 0.000 3.839
3.438 3.438 2.560
1.627 5.157 3.199
1.719 1.627 1.920
1.719 1.811 4.479
1.811 5.157 0.640
5.065 1.719 0.640
5.157 5.065 4.479
5.157 5.250 1.920
5.250 1.719 3.199
0.000 0.000 2.560
0.000 3.438 3.839
3.438 0.000 1.280
3.438 3.438 0.000
```

Calculated values
Crystal system: tetragonal

=====

Calculated values (eV/atom) of ΔE_f for the records, taken in order: 0.250, 0.358, 0.406, -0.109, 0.354, 0.343, 0.318, 0.690.
Calculated values (eV/atom) of total DFT energy (no corrections) for the records, taken in order: -7.09, -6.98, -6.93, -4.36, -6.98, -6.99, -7.02, -6.65.